A plane-wave DFT calculation with GGA-PBE was carried out for a relaxed Ti2InAs crystal.

The structure in extended XYZ format:
```
8
Lattice="7.255 0.000 0.000 0.000 7.255 0.000 3.627 3.627 2.930" Properties=species:S:1:pos:R:3 pbc="T T T"
In 7.255 3.627 1.465
In 0.000 0.000 0.000
As 3.627 7.255 1.465
As 3.627 3.627 0.000
Ti 2.028 5.441 0.732
Ti 5.441 5.655 2.197
Ti 9.068 8.854 2.197
Ti 5.227 1.814 0.732
```

Output
- crystal system = tetragonal
- magnetic moment (μB per formula unit) = 0.00
- energy (eV per atom) = -5.999
- symmetry = I-42d
- energy relative to the lowest polymorph listed for this composition (meV per atom) = 238
- DFT formation energy (meV per atom) = -204